## one
Computed, not measured: a relaxed CaNiOs2 crystal at the PBE level of DFT.

Cell: 4.5965 4.5965 16.9625 Å, 90.00 90.00 90.00°
Last column: nearest neighbours and their distance in Å.
Space group I-42d (No. 122)
Inequivalent atoms, fractional coordinates:
1 Ca 0.0000 0.0000 0.0000  8 Os 3.16-3.52, 4 Ni 3.25
2 Ni 0.0000 0.0000 0.5000  4 Os 2.43
3 Os 0.0570 0.2500 0.6250  2 Os 2.36, 2 Ni 2.43

Output
Its mass density is 8.9 Mg/m³.

=====

## two
Computed, not measured: a relaxed CaNiOs2 crystal at the PBE level of DFT.

Cell: 2.7672 4.2595 5.7272 Å, 90.00 103.86 90.00°
Last column: nearest neighbours and their distance in Å.
Space group Pm (No. 6)
Inequivalent atoms, fractional coordinates:
1 Ca 0.0000 0.0000 0.0000  2 Ca 2.77, 3 Os 2.83-3.06, 4 Ni 2.85
2 Ni 0.6165 0.5000 0.2336  4 Os 2.57-2.60, 2 Ni 2.77, 4 Ca 2.85
3 Os 0.3125 0.5000 0.6298  2 Ni 2.60, 6 Os 2.65-2.77
4 Os 0.7418 0.0000 0.4907  2 Ni 2.57, 6 Os 2.65-2.77, 1 Ca 2.83

Output
Its mass density is 12.1 Mg/m³.

=====

Computed relative energies in units of kJ/mol of atoms: one 51.8; two 0.0

=====

## one
Computed, not measured: a relaxed Ca2NiOs crystal at the PBE level of DFT.

Cell: 3.0344 4.9847 10.8576 Å, 90.00 90.00 90.00°
Last column: nearest neighbours and their distance in Å.
Space group Imm2 (No. 44)
Inequivalent atoms, fractional coordinates:
1 Ca 0.0000 0.0000 0.0000  4 Ni 2.98, 4 Ca 3.03-3.31, 2 Os 3.27
2 Ca 0.0000 0.5000 0.2006  4 Os 3.01, 4 Ca 3.03-3.31, 2 Ni 3.19
3 Ni 0.0000 0.0000 0.4424  2 Os 2.43
4 Os 0.0000 0.5000 0.7671  2 Ni 2.43

Output
Its mass density is 6.7 Mg/m³.

=====

## two
Computed, not measured: a relaxed Ca2NiOs crystal at the PBE level of DFT.

Cell: 6.7343 6.7343 6.7343 Å, 90.00 90.00 90.00°
Last column: nearest neighbours and their distance in Å.
Space group F-43m (No. 216)
Inequivalent atoms, fractional coordinates:
1 Ca 0.0000 0.0000 0.0000  4 Ca 2.92, 4 Ni 2.92
2 Ca 0.2500 0.2500 0.2500  4 Os 2.92, 4 Ca 2.92
3 Ni 0.2500 0.2500 0.7500  4 Os 2.92, 4 Ca 2.92
4 Os 0.0000 0.0000 0.5000  4 Ni 2.92, 4 Ca 2.92

Output
Its mass density is 7.2 Mg/m³.

=====

## three
Computed, not measured: a relaxed Ca2NiOs crystal at the PBE level of DFT.

Cell: 6.7207 8.0125 2.9407 Å, 90.00 90.00 90.00°
Last column: nearest neighbours and their distance in Å.
Space group Cmmm (No. 65)
Inequivalent atoms, fractional coordinates:
1 Ca 0.2500 0.2500 0.0000  2 Ca 2.94, 4 Ni 3.00, 4 Os 3.00
2 Ni 0.0000 0.0000 0.5000  2 Ni 2.94, 8 Ca 3.00
3 Os 0.0000 0.5000 0.5000  2 Os 2.94, 8 Ca 3.00

Output
Its mass density is 6.9 Mg/m³.

=====

Computed relative energies in units of kJ/mol of atoms: one 0.0; two 24.3; three 14.7

=====

## one
Computed, not measured: a relaxed Ca2NiOs crystal at the PBE level of DFT.

Cell: 5.2158 5.2158 2.9452 Å, 90.00 90.00 90.00°
Last column: nearest neighbours and their distance in Å.
Space group P4/mmm (No. 123)
Inequivalent atoms, fractional coordinates:
1 Ca 0.0000 0.5000 0.0000  2 Ca 2.95, 4 Os 2.99, 4 Ni 2.99
2 Ni 0.0000 0.0000 0.5000  2 Ni 2.95, 8 Ca 2.99
3 Os 0.5000 0.5000 0.5000  2 Os 2.95, 8 Ca 2.99

Output
Its mass density is 6.8 Mg/m³.

=====

## two
Computed, not measured: a relaxed Ca2NiOs crystal at the PBE level of DFT.

Cell: 4.2078 4.4831 9.9705 Å, 90.00 90.00 90.00°
Last column: nearest neighbours and their distance in Å.
Space group Amm2 (No. 38)
Inequivalent atoms, fractional coordinates:
1 Ca 0.0000 0.0000 0.0000  3 Ni 2.94-3.09, 4 Os 3.24
2 Ca 0.5000 0.0000 0.2911  3 Os 2.94-3.09, 4 Ni 3.23
3 Ni 0.0000 0.0000 0.6902  2 Os 2.28
4 Os 0.5000 0.0000 0.6011  2 Ni 2.28

Output
Its mass density is 5.8 Mg/m³.

=====

## three
Computed, not measured: a relaxed Ca2NiOs crystal at the PBE level of DFT.

Cell: 7.7081 7.7081 5.5043 Å, 90.00 90.00 90.00°
Last column: nearest neighbours and their distance in Å.
Space group I-42d (No. 122)
Inequivalent atoms, fractional coordinates:
1 Ca 0.2235 0.2500 0.1250  2 Ni 2.67, 2 Ca 2.78, 2 Os 2.95
2 Ni 0.0000 0.0000 0.0000  4 Ca 2.67, 2 Os 2.75
3 Os 0.0000 0.0000 0.5000  2 Ni 2.75, 4 Ca 2.95

Output
Its mass density is 6.7 Mg/m³.

=====

## four
Computed, not measured: a relaxed Ca2NiOs crystal at the PBE level of DFT.

Cell: 3.2933 3.3660 8.2854 Å, 90.00 90.00 90.00°
Last column: nearest neighbours and their distance in Å.
Space group Pmm2 (No. 25)
Inequivalent atoms, fractional coordinates:
1 Ca 0.0000 0.0000 0.0000  1 Os 2.83, 4 Ni 3.10
2 Ca 0.5000 0.5000 0.4110  1 Ni 2.86, 4 Os 3.12
3 Ni 0.5000 0.5000 0.7562  4 Os 2.49
4 Os 0.0000 0.0000 0.6587  4 Ni 2.49

Output
Its mass density is 5.9 Mg/m³.

=====

Computed relative energies in units of kJ/mol of atoms: one 29.1; two 0.0; three 55.1; four 12.8

=====

## one
Computed, not measured: a relaxed Ca2NiOs crystal at the PBE level of DFT.

Cell: 2.9170 4.0318 6.6874 Å, 90.00 90.29 90.00°
Last column: nearest neighbours and their distance in Å.
Space group P2/m (No. 10)
Inequivalent atoms, fractional coordinates:
1 Ca 0.0014 0.0000 0.2506  2 Ca 2.92, 4 Ni 2.99-3.00, 4 Os 3.00
2 Ni 0.5000 0.5000 0.5000  2 Ni 2.92, 8 Ca 2.99-3.00
3 Os 0.5000 0.5000 0.0000  2 Os 2.92, 8 Ca 3.00

Output
Its mass density is 6.9 Mg/m³.

=====

## two
Computed, not measured: a relaxed Ca2NiOs crystal at the PBE level of DFT.

Cell: 6.8446 6.8446 6.8446 Å, 90.00 90.00 90.00°
Last column: nearest neighbours and their distance in Å.
Space group Fm-3m (No. 225)
Inequivalent atoms, fractional coordinates:
1 Ca 0.2500 0.2500 0.2500  4 Os 2.96, 4 Ni 2.96
2 Ni 0.0000 0.0000 0.0000  8 Ca 2.96
3 Os 0.0000 0.0000 0.5000  8 Ca 2.96

Output
Its mass density is 6.8 Mg/m³.

=====

## three
Computed, not measured: a relaxed Ca2NiOs crystal at the PBE level of DFT.

Cell: 5.2517 2.8203 5.6684 Å, 90.00 107.42 90.00°
Last column: nearest neighbours and their distance in Å.
Space group P2/m (No. 10)
Inequivalent atoms, fractional coordinates:
1 Ca 0.0000 0.0000 0.0000  2 Ca 2.82, 2 Ni 2.83, 4 Os 2.98
2 Ca 0.5000 0.5000 0.5000  2 Ca 2.82, 2 Os 2.83, 4 Ni 2.98
3 Ni 0.0000 0.0000 0.5000  2 Ni 2.82, 6 Ca 2.83-2.98
4 Os 0.5000 0.5000 0.0000  2 Os 2.82, 6 Ca 2.83-2.98

Output
Its mass density is 6.8 Mg/m³.

=====

Computed relative energies in units of kJ/mol of atoms: one 0.0; two 4.2; three 17.2

=====

## one
Computed, not measured: a relaxed CaNi3Os crystal at the PBE level of DFT.

Cell: 4.5750 4.5750 4.5750 Å, 90.00 90.00 90.00°
Last column: nearest neighbours and their distance in Å.
Space group Pm-3m (No. 221)
Inequivalent atoms, fractional coordinates:
1 Ca 0.0000 0.0000 0.0000  12 Ni 3.24
2 Ni 0.0000 0.5000 0.5000  2 Os 2.29
3 Os 0.5000 0.5000 0.5000  6 Ni 2.29

Output
Its mass density is 7.0 Mg/m³.

=====

## two
Computed, not measured: a relaxed CaNi3Os crystal at the PBE level of DFT.

Cell: 4.3414 4.3414 4.3414 Å, 90.00 90.00 90.00°
Last column: nearest neighbours and their distance in Å.
Space group Pm-3m (No. 221)
Inequivalent atoms, fractional coordinates:
1 Ca 0.0000 0.0000 0.0000  6 Ni 2.17
2 Ni 0.0000 0.0000 0.5000  2 Ca 2.17
3 Os 0.5000 0.5000 0.5000  12 Ni 3.07

Output
Its mass density is 8.2 Mg/m³.

=====

Computed relative energies in units of kJ/mol of atoms: one 0.0; two 128.9

=====

## one
Computed, not measured: a relaxed CaNi3P crystal at the PBE level of DFT.

Cell: 4.2817 4.2817 4.2817 Å, 90.00 90.00 90.00°
Last column: nearest neighbours and their distance in Å.
Space group Pm-3m (No. 221)
Inequivalent atoms, fractional coordinates:
1 Ca 0.0000 0.0000 0.0000  12 Ni 3.03
2 Ni 0.0000 0.5000 0.5000  2 P 2.14
3 P 0.5000 0.5000 0.5000  6 Ni 2.14

Output
Its mass density is 5.2 Mg/m³.

=====

## two
Computed, not measured: a relaxed CaNi3P crystal at the PBE level of DFT.

Cell: 4.4970 4.4970 4.4970 Å, 90.00 90.00 90.00°
Last column: nearest neighbours and their distance in Å.
Space group Pm-3m (No. 221)
Inequivalent atoms, fractional coordinates:
1 Ca 0.0000 0.0000 0.0000  6 Ni 2.25
2 Ni 0.0000 0.0000 0.5000  2 Ca 2.25
3 P 0.5000 0.5000 0.5000  12 Ni 3.18

Output
Its mass density is 4.5 Mg/m³.

=====

Computed relative energies in units of kJ/mol of atoms: one 0.0; two 193.7